A crystal of Tl2PIr relaxed with PBEsol, computed with meta-GGA SCAN.

a = 3.1789 Å, b = 3.9036 Å, c = 6.1153 Å
α = 90.00°, β = 90.00°, γ = 90.00°
Fractional coordinates of all 4 atoms:
Tl (0.0000, 0.0000, 0.2428)
Tl (0.0000, 0.0000, 0.7572)
P (0.5000, 0.5000, 0.5000)
Ir (0.5000, 0.5000, 0.0000)

* excess energy over the best structure of this formula in the dataset: 0.847 eV/atom
* size of the total moment: 0.0 μB/cell
* space group: Pmmm (47)
* energy relative to the elements: 838 meV/atom
* ρ: 13.83 g/cm3

A crystal of TlP2Ir relaxed with PBEsol, computed with meta-GGA SCAN.

a = 4.5241 Å, b = 4.5241 Å, c = 4.5241 Å
α = 60.00°, β = 60.00°, γ = 60.00°
Fractional coordinates of all 4 atoms:
Tl (0.0000, 0.0000, 0.0000)
P (0.2500, 0.2500, 0.2500)
P (0.7500, 0.7500, 0.7500)
Ir (0.5000, 0.5000, 0.5000)

* excess energy over the best structure of this formula in the dataset: 0.366 eV/atom
* size of the total moment: 0.0 μB/cell
* space group: Fm-3m (225)
* energy relative to the elements: 726 meV/atom
* ρ: 11.63 g/cm3

A crystal of Tl2PIr relaxed with PBEsol, computed with meta-GGA SCAN.

a = 3.1434 Å, b = 3.1434 Å, c = 8.5339 Å
α = 90.00°, β = 90.00°, γ = 90.00°
Fractional coordinates of all 4 atoms:
Tl (0.0000, 0.0000, 0.0000)
Tl (0.5000, 0.5000, 0.3482)
P (0.5000, 0.5000, 0.7261)
Ir (0.0000, 0.0000, 0.6219)

* excess energy over the best structure of this formula in the dataset: 0.058 eV/atom
* size of the total moment: 0.0 μB/cell
* space group: P4mm (99)
* energy relative to the elements: 50 meV/atom
* ρ: 12.44 g/cm3

A crystal of Tl2PIr relaxed with PBEsol, computed with meta-GGA SCAN.

a = 3.5214 Å, b = 5.5614 Å, c = 5.5614 Å
α = 55.64°, β = 90.00°, γ = 90.00°
Fractional coordinates of all 4 atoms:
Tl (0.0000, 0.0000, 0.0000)
Tl (0.5000, 0.3328, 0.3328)
P (0.5000, 0.7123, 0.7123)
Ir (0.0000, 0.5732, 0.5732)

* excess energy over the best structure of this formula in the dataset: 0.000 eV/atom
* size of the total moment: 0.0 μB/cell
* space group: Amm2 (38)
* energy relative to the elements: -8 meV/atom
* ρ: 11.67 g/cm3

A crystal of TlP2Ir relaxed with PBEsol, computed with meta-GGA SCAN.

a = 2.9057 Å, b = 3.2822 Å, c = 7.4677 Å
α = 90.00°, β = 90.00°, γ = 90.00°
Fractional coordinates of all 4 atoms:
Tl (0.0000, 0.0000, 0.0000)
P (0.0000, 0.0000, 0.4599)
P (0.5000, 0.5000, 0.6403)
Ir (0.5000, 0.5000, 0.3135)

* excess energy over the best structure of this formula in the dataset: 0.000 eV/atom
* size of the total moment: 0.0 μB/cell
* space group: Pmm2 (25)
* energy relative to the elements: 360 meV/atom
* ρ: 10.69 g/cm3

A crystal of PIr2W relaxed with PBEsol, computed with meta-GGA SCAN.

a = 2.7936 Å, b = 4.4838 Å, c = 4.5009 Å
α = 90.00°, β = 90.00°, γ = 90.00°
Fractional coordinates of all 4 atoms:
P (0.0000, 0.0000, 0.0000)
Ir (0.0000, 0.5000, 0.5000)
Ir (0.5000, 0.5000, 0.0000)
W (0.5000, 0.0000, 0.5000)

* size of the total moment: 0.0 μB/cell
* space group: Pmmm (47)
* energy relative to the elements: 139 meV/atom
* ρ: 17.65 g/cm3

A crystal of P4IrW relaxed with PBEsol, computed with meta-GGA SCAN.

a = 4.8490 Å, b = 4.8490 Å, c = 4.8490 Å
α = 60.00°, β = 60.00°, γ = 60.00°
Fractional coordinates of all 6 atoms:
P (0.1248, 0.1248, 0.1248)
P (0.1248, 0.1248, 0.6257)
P (0.1248, 0.6257, 0.1248)
P (0.6257, 0.1248, 0.1248)
Ir (0.7500, 0.7500, 0.7500)
W (0.5000, 0.5000, 0.5000)

* size of the total moment: 0.0 μB/cell
* space group: F-43m (216)
* energy relative to the elements: 1075 meV/atom
* ρ: 10.30 g/cm3

A crystal of P2IrW relaxed with PBEsol, computed with meta-GGA SCAN.

a = 4.3226 Å, b = 4.3226 Å, c = 4.3226 Å
α = 60.00°, β = 60.00°, γ = 60.00°
Fractional coordinates of all 4 atoms:
P (0.0000, 0.0000, 0.0000)
P (0.2500, 0.2500, 0.2500)
Ir (0.5000, 0.5000, 0.5000)
W (0.7500, 0.7500, 0.7500)

* size of the total moment: 0.0 μB/cell
* space group: F-43m (216)
* energy relative to the elements: 679 meV/atom
* ρ: 12.74 g/cm3

A crystal of P2IrW relaxed with PBEsol, computed with meta-GGA SCAN.

a = 4.8514 Å, b = 4.8514 Å, c = 4.8514 Å
α = 145.15°, β = 118.09°, γ = 73.05°
Fractional coordinates of all 4 atoms:
P (0.2433, 0.2433, 0.0000)
P (0.7567, 0.7567, 0.0000)
Ir (0.0000, 0.5000, 0.5000)
W (0.5000, 0.0000, 0.5000)

* size of the total moment: 0.0 μB/cell
* space group: Immm (71)
* energy relative to the elements: 437 meV/atom
* ρ: 12.86 g/cm3

A crystal of YP2Ir relaxed with PBEsol, computed with meta-GGA SCAN.

a = 4.2011 Å, b = 3.8990 Å, c = 4.4448 Å
α = 90.00°, β = 95.53°, γ = 90.00°
Fractional coordinates of all 4 atoms:
Y (0.0000, 0.0000, 0.0000)
P (0.3780, 0.5000, 0.7615)
P (0.6220, 0.5000, 0.2385)
Ir (0.5000, 0.0000, 0.5000)

* excess energy over the best structure of this formula in the dataset: 0.042 eV/atom
* size of the total moment: 0.0 μB/cell
* space group: P2/m (10)
* energy relative to the elements: -1117 meV/atom
* ρ: 7.86 g/cm3

A crystal of YP2Ir relaxed with PBEsol, computed with meta-GGA SCAN.

a = 5.7303 Å, b = 5.7303 Å, c = 5.7303 Å
α = 39.12°, β = 39.12°, γ = 39.12°
Fractional coordinates of all 4 atoms:
Y (0.0000, 0.0000, 0.0000)
P (0.2292, 0.2292, 0.2292)
P (0.7708, 0.7708, 0.7708)
Ir (0.5000, 0.5000, 0.5000)

* excess energy over the best structure of this formula in the dataset: 0.000 eV/atom
* size of the total moment: 0.0 μB/cell
* space group: R-3m (166)
* energy relative to the elements: -1158 meV/atom
* ρ: 8.46 g/cm3

A crystal of Y2PIr relaxed with PBEsol, computed with meta-GGA SCAN.

a = 4.0659 Å, b = 5.5363 Å, c = 5.5363 Å
α = 40.74°, β = 90.00°, γ = 90.00°
Fractional coordinates of all 4 atoms:
Y (0.0000, 0.0000, 0.0000)
Y (0.5000, 0.2799, 0.2799)
P (0.0000, 0.7156, 0.7156)
Ir (0.5000, 0.5614, 0.5614)

* size of the total moment: 0.0 μB/cell
* space group: Amm2 (38)
* energy relative to the elements: -1307 meV/atom
* ρ: 8.19 g/cm3